1.
Al2HgAsS6 | PBE | relaxed

Computed properties:
The uncorrected energy comes out at -4.15 eV/atom.

Unit cell a=7.044 b=8.483 c=8.483 alpha=84.43 beta=75.52 gamma=75.52
Positions (direct):
S: 0.396 0.921 0.380
S: 0.534 0.585 0.694
S: 0.966 0.306 0.415
S: 0.034 0.694 0.585
S: 0.872 0.011 0.192
S: 0.466 0.415 0.306
S: 0.372 0.192 0.011
S: 0.896 0.380 0.921
S: 0.604 0.079 0.620
S: 0.104 0.620 0.079
S: 0.628 0.808 0.989
S: 0.128 0.989 0.808
Al: 0.208 0.374 0.212
Al: 0.792 0.626 0.788
Al: 0.292 0.788 0.626
Al: 0.708 0.212 0.374
Hg: 0.250 0.787 0.213
Hg: 0.750 0.213 0.787
As: 0.250 0.217 0.783
As: 0.750 0.783 0.217

=====

2.
ZnAg2Mo | PBE | relaxed

Computed properties:
As for the energy of formation from the pure elements: 2.0 eV/f.u.

Unit cell a=4.695 b=4.695 c=4.695 alpha=125.24 beta=125.24 gamma=81.15
Positions (direct):
Mo: 0.500 0.500 0.000
Ag: 0.000 0.000 0.000
Ag: 0.250 0.750 0.500
Zn: 0.750 0.250 0.500

=====

3.
AcGe2Pt5 | PBE | relaxed

Computed properties:
As for the energy of formation from the pure elements: -5.8 eV/f.u.

Unit cell a=4.108 b=6.518 c=6.518 alpha=67.25 beta=71.63 gamma=71.63
Positions (direct):
Ge: 0.246 0.254 0.254
Ge: 0.754 0.746 0.746
Pt: 0.000 0.500 0.500
Pt: 0.645 0.551 0.158
Pt: 0.645 0.158 0.551
Pt: 0.355 0.449 0.842
Pt: 0.355 0.842 0.449
Ac: 0.000 0.000 0.000

=====

4.
AcSn3Rh5 | PBE | relaxed

Computed properties:
As for the energy of formation from the pure elements: -4.4 eV/f.u.

Unit cell a=4.343 b=7.208 c=12.527 alpha=90.05 beta=90.00 gamma=107.56
Positions (direct):
Rh: 0.813 0.624 0.072
Rh: 0.000 0.000 0.500
Rh: 0.551 0.103 0.864
Rh: 0.813 0.624 0.428
Rh: 0.448 0.896 0.365
Rh: 0.552 0.104 0.635
Rh: 0.187 0.376 0.928
Rh: 0.449 0.897 0.136
Rh: 0.000 0.000 0.000
Rh: 0.187 0.376 0.572
Sn: 0.941 0.882 0.250
Sn: 0.625 0.250 0.446
Sn: 0.375 0.750 0.554
Sn: 0.625 0.251 0.054
Sn: 0.375 0.749 0.946
Sn: 0.059 0.118 0.750
Ac: 0.765 0.529 0.750
Ac: 0.235 0.471 0.250

=====

5.
La2YPt | PBE | relaxed

Computed properties:
As for the energy of formation from the pure elements: -1.9 eV/f.u. Its energy above the most stable polymorph in this dataset is 0.1713 eV/atom.

Unit cell a=4.043 b=4.043 c=9.716 alpha=77.94 beta=77.94 gamma=59.92
Positions (direct):
Y: 0.500 0.500 0.500
La: 0.063 0.063 0.812
La: 0.271 0.271 0.188
Pt: 0.666 0.666 0.001

=====

6.
YBr2F | PBE | relaxed

Computed properties:
Its energy above the most stable polymorph in this dataset is 2.0526 eV/atom.

Unit cell a=8.158 b=8.158 c=8.158 alpha=34.71 beta=34.71 gamma=34.71
Positions (direct):
F: 0.500 0.500 0.500
Br: 0.110 0.110 0.110
Br: 0.890 0.890 0.890
Y: 0.000 0.000 0.000

=====

Summary of size of the total moment in μB/atom
0.000 0.436 0.000 0.000 0.053 0.117
(order as listed above)